[1]
Material: BaNbInO2
Method: DFT, PBE-GGA
State: optimized geometry

Its uncorrected energy is -4.37 eV per atom.

a b c (Å): 4.3300 7.3744 4.3300
angles (deg): 90.00 90.00 90.00
Fractional coordinates of all 5 atoms:
In (0.0000, 0.5000, 0.0000)
Ba (0.0000, 0.0000, 0.0000)
O (0.0000, 0.0000, 0.5000)
Nb (0.5000, 0.5000, 0.5000)
O (0.5000, 0.0000, 0.0000)

***

[2]
Material: LaPr4Ho8
Method: DFT, PBE-GGA
State: optimized geometry

The calculated formation energy comes out at 12.1 kcal/mol of atoms.

a b c (Å): 7.8600 7.8600 7.8600
angles (deg): 90.08 90.08 90.08
Fractional coordinates of all 13 atoms:
Ho (0.2393, 0.7616, 0.7616)
La (0.5000, 0.5000, 0.5000)
Ho (0.7616, 0.2393, 0.7616)
Pr (0.0000, 0.5000, 0.5000)
Ho (0.7613, 0.7613, 0.7613)
Ho (0.2384, 0.2384, 0.7607)
Pr (0.0000, 0.0000, 0.0000)
Ho (0.2387, 0.2387, 0.2387)
Pr (0.5000, 0.5000, 0.0000)
Pr (0.5000, 0.0000, 0.5000)
Ho (0.7607, 0.2384, 0.2384)
Ho (0.2384, 0.7607, 0.2384)
Ho (0.7616, 0.7616, 0.2393)

***

[3]
Material: PbIBr2
Method: DFT, PBE-GGA
State: optimized geometry

Its uncorrected energy is -2.82 eV per atom.

a b c (Å): 4.6316 8.2535 10.3684
angles (deg): 113.50 77.05 90.00
Fractional coordinates of all 8 atoms:
Br (0.1894, 0.6512, 0.7276)
Br (0.7086, 0.0340, 0.6893)
Br (0.8659, 0.5348, 0.3758)
I (0.4793, 0.7690, 0.1492)
Pb (0.7537, 0.3815, 0.5991)
I (0.5765, 0.4171, 0.9542)
Pb (0.3013, 0.8044, 0.5042)
Br (0.3467, 0.1520, 0.4140)